Computed, not measured: crystalline Dy3TlTc at its relaxed geometry at the PBE level of DFT.

a = 5.324 Å, b = 6.935 Å, c = 8.616 Å
α = 112.24°, β = 90.00°, γ = 112.57°
Atoms (fractional coordinates):
Dy 0.923 0.846 0.771
Dy 0.077 0.154 0.229
Dy 0.588 0.176 0.880
Dy 0.412 0.824 0.120
Dy 0.788 0.575 0.276
Dy 0.212 0.425 0.724
Tl 0.374 0.748 0.505
Tl 0.626 0.252 0.495
Tc 0.182 0.364 0.018
Tc 0.818 0.636 0.982

Properties
- SG = C2/m
- polymorph energy (0 for the lowest one) (meV per atom) = 67
- uncorrected energy (eV/atom) = -5.420
- energy of formation (eV per atom) = -0.112
- calculated volume (Å³/atom) = 26.79

Computed, not measured: crystalline CrAgRu2 at its relaxed geometry at the PBE level of DFT.

a = 4.775 Å, b = 4.775 Å, c = 4.775 Å
α = 132.35°, β = 132.35°, γ = 69.67°
Each line ends with the local moment (μB).
Atoms (fractional coordinates):
Ag 0.500 0.500 0.000  0.03
Cr 0.750 0.250 0.500  2.51
Ru 0.000 0.000 0.000  -0.41
Ru 0.250 0.750 0.500  -0.12

Properties
- SG = I-4m2
- polymorph energy (0 for the lowest one) (meV per atom) = 262
- uncorrected energy (eV/atom) = -7.268
- energy of formation (eV per atom) = 0.488
- calculated volume (Å³/atom) = 14.58

Copy entry 2 word for word.
Computed, not measured: crystalline CrAgRu2 at its relaxed geometry at the PBE level of DFT.

a = 4.775 Å, b = 4.775 Å, c = 4.775 Å
α = 132.35°, β = 132.35°, γ = 69.67°
Each line ends with the local moment (μB).
Atoms (fractional coordinates):
Ag 0.500 0.500 0.000  0.03
Cr 0.750 0.250 0.500  2.51
Ru 0.000 0.000 0.000  -0.41
Ru 0.250 0.750 0.500  -0.12

Properties
- SG = I-4m2
- polymorph energy (0 for the lowest one) (meV per atom) = 262
- uncorrected energy (eV/atom) = -7.268
- energy of formation (eV per atom) = 0.488
- calculated volume (Å³/atom) = 14.58